The following is a GGA-PBE calculation of crystalline Ta2Ni2Ag at its relaxed geometry, from Alexandria via LeMat-Bulk.

Unit cell a=7.6669 b=7.6669 c=2.6950 alpha=90.00 beta=90.00 gamma=90.00
With the nearest neighbours (Å) after each atom.
Space group P4/mbm (No. 127)
One atom of each set of equivalent atoms:
Ta 0.1290 0.3710 0.0000 [4 per cell]  6 Ni 2.60-2.65, 3 Ta 2.69-2.80
Ni 0.1662 0.6662 0.5000 [4 per cell]  6 Ta 2.60-2.65, 2 Ni 2.69
Ag 0.0000 0.0000 0.0000 [2 per cell]  2 Ag 2.69, 4 Ta 3.01

VASP energy, eV/atom: -7.482
Formation energy, eV per formula unit: 0.710
Polymorph energy (0 for the lowest one), eV/atom: 0.183

The following is a GGA-PBE calculation of crystalline TaNiAg at its relaxed geometry, from Alexandria via LeMat-Bulk.

Unit cell a=4.4234 b=4.4234 c=2.7100 alpha=90.00 beta=90.00 gamma=120.00
With the nearest neighbours (Å) after each atom.
Space group P3m1 (No. 156)
One atom of each set of equivalent atoms:
Ta 0.0000 0.0000 0.0000 [1 per cell]  2 Ta 2.71, 6 Ni 2.89, 6 Ag 2.89
Ni 0.6667 0.3333 0.5025 [1 per cell]  3 Ag 2.55, 2 Ni 2.71
Ag 0.3333 0.6667 0.4994 [1 per cell]  3 Ni 2.55, 2 Ag 2.71

VASP energy, eV/atom: -6.660
Formation energy, eV per formula unit: 0.505
Polymorph energy (0 for the lowest one), eV/atom: 0.056

The following is a GGA-PBE calculation of crystalline TaNiAg2 at its relaxed geometry, from Alexandria via LeMat-Bulk.

Unit cell a=9.2294 b=2.8090 c=5.0800 alpha=90.00 beta=100.79 gamma=90.00
With the nearest neighbours (Å) after each atom.
Space group Cm (No. 8)
One atom of each set of equivalent atoms:
Ta 0.0000 0.0000 0.0000 [2 per cell]  3 Ni 2.64-2.76, 2 Ta 2.81, 5 Ag 2.83-2.93
Ni 0.2613 0.0000 0.8103 [2 per cell]  3 Ta 2.64-2.76, 4 Ag 2.79-2.80, 2 Ni 2.81
Ag 0.0201 0.5000 0.5248 [2 per cell]  5 Ag 2.73-2.84, 3 Ni 2.80-3.02, 4 Ta 2.83-2.99
Ag 0.2617 0.5000 0.2857 [2 per cell]  5 Ag 2.73-2.84, 4 Ni 2.79-3.01, 3 Ta 2.85-2.93

VASP energy, eV/atom: -5.570
Formation energy, eV per formula unit: 1.056
Polymorph energy (0 for the lowest one), eV/atom: 0.170

The following is a GGA-PBE calculation of crystalline TaNiAg2 at its relaxed geometry, from Alexandria via LeMat-Bulk.

Unit cell a=7.3434 b=7.3434 c=5.1633 alpha=90.00 beta=90.00 gamma=90.00
With the nearest neighbours (Å) after each atom.
Space group I-42d (No. 122)
One atom of each set of equivalent atoms:
Ta 0.0000 0.0000 0.0000 [4 per cell]  2 Ni 2.58, 4 Ag 2.84
Ni 0.0000 0.0000 0.5000 [4 per cell]  4 Ag 2.52, 2 Ta 2.58
Ag 0.2183 0.2500 0.6250 [8 per cell]  2 Ni 2.52, 2 Ag 2.62

VASP energy, eV/atom: -5.051
Formation energy, eV per formula unit: 3.133
Polymorph energy (0 for the lowest one), eV/atom: 0.689

The following is a GGA-PBE calculation of crystalline TaNiAg2 at its relaxed geometry, from Alexandria via LeMat-Bulk.

Unit cell a=2.7595 b=4.8833 c=4.8150 alpha=90.00 beta=93.20 gamma=90.00
With the nearest neighbours (Å) after each atom.
Space group P2/m (No. 10)
One atom of each set of equivalent atoms:
Ta 0.0000 0.0000 0.0000 [1 per cell]  4 Ni 2.71-2.84, 2 Ta 2.76, 4 Ag 2.86
Ni 0.5000 0.0000 0.5000 [1 per cell]  4 Ta 2.71-2.84, 2 Ni 2.76, 4 Ag 2.80
Ag 0.2773 0.5000 0.7451 [2 per cell]  6 Ag 2.68-2.96, 2 Ni 2.80, 2 Ta 2.86

VASP energy, eV/atom: -5.542
Formation energy, eV per formula unit: 1.170
Polymorph energy (0 for the lowest one), eV/atom: 0.198

The following is a GGA-PBE calculation of crystalline TaNiAg2 at its relaxed geometry, from Alexandria via LeMat-Bulk.

Unit cell a=4.8185 b=4.8185 c=2.8549 alpha=90.00 beta=90.00 gamma=90.00
With the nearest neighbours (Å) after each atom.
Space group P4/mmm (No. 123)
One atom of each set of equivalent atoms:
Ta 0.0000 0.0000 0.0000 [1 per cell]  8 Ag 2.80, 2 Ta 2.85
Ni 0.5000 0.5000 0.0000 [1 per cell]  8 Ag 2.80, 2 Ni 2.85
Ag 0.0000 0.5000 0.5000 [2 per cell]  4 Ta 2.80, 4 Ni 2.80, 2 Ag 2.85

VASP energy, eV/atom: -5.268
Formation energy, eV per formula unit: 2.266
Polymorph energy (0 for the lowest one), eV/atom: 0.472

The following is a GGA-PBE calculation of crystalline Ta4NiAg at its relaxed geometry, from Alexandria via LeMat-Bulk.

Unit cell a=7.6233 b=7.6233 c=7.6233 alpha=90.00 beta=90.00 gamma=90.00
With the nearest neighbours (Å) after each atom.
Space group F-43m (No. 216)
One atom of each set of equivalent atoms:
Ta 0.1253 0.1253 0.1253 [16 per cell]  6 Ta 2.69-2.70
Ni 0.0000 0.0000 0.5000 [4 per cell]  12 Ta 3.16, 4 Ag 3.30
Ag 0.2500 0.2500 0.7500 [4 per cell]  12 Ta 3.16, 4 Ni 3.30

VASP energy, eV/atom: -8.724
Formation energy, eV per formula unit: 3.699

The following is a GGA-PBE calculation of crystalline TaNi3Ag at its relaxed geometry, from Alexandria via LeMat-Bulk.

Unit cell a=4.5382 b=4.5382 c=4.5382 alpha=90.00 beta=90.00 gamma=90.00
With the nearest neighbours (Å) after each atom.
Space group Pm-3m (No. 221)
One atom of each set of equivalent atoms:
Ta 0.0000 0.0000 0.0000 [1 per cell]  6 Ni 2.27
Ni 0.0000 0.0000 0.5000 [3 per cell]  2 Ta 2.27
Ag 0.5000 0.5000 0.5000 [1 per cell]  12 Ni 3.21

VASP energy, eV/atom: -5.200
Formation energy, eV per formula unit: 6.050
Polymorph energy (0 for the lowest one), eV/atom: 0.000

The following is a GGA-PBE calculation of crystalline Ta2NiAg at its relaxed geometry, from Alexandria via LeMat-Bulk.

Unit cell a=6.4224 b=6.4224 c=6.4224 alpha=90.00 beta=90.00 gamma=90.00
With the nearest neighbours (Å) after each atom.
Space group F-43m (No. 216)
One atom of each set of equivalent atoms:
Ta 0.0000 0.0000 0.0000 [4 per cell]  4 Ni 2.78, 4 Ta 2.78
Ta 0.2500 0.2500 0.2500 [4 per cell]  4 Ta 2.78, 4 Ag 2.78
Ni 0.2500 0.2500 0.7500 [4 per cell]  4 Ta 2.78, 4 Ag 2.78
Ag 0.0000 0.0000 0.5000 [4 per cell]  4 Ta 2.78, 4 Ni 2.78

VASP energy, eV/atom: -7.632
Formation energy, eV per formula unit: 1.810
Polymorph energy (0 for the lowest one), eV/atom: 0.391

The following is a GGA-PBE calculation of crystalline TaNiAg2 at its relaxed geometry, from Alexandria via LeMat-Bulk.

Unit cell a=2.7976 b=2.7976 c=8.1715 alpha=90.00 beta=90.00 gamma=90.00
With the nearest neighbours (Å) after each atom.
Space group P4/mmm (No. 123)
One atom of each set of equivalent atoms:
Ta 0.0000 0.0000 0.0000 [1 per cell]  4 Ta 2.80, 8 Ag 2.98
Ni 0.0000 0.0000 0.5000 [1 per cell]  8 Ag 2.71, 4 Ni 2.80
Ag 0.5000 0.5000 0.2730 [2 per cell]  4 Ni 2.71, 4 Ag 2.80, 4 Ta 2.98

VASP energy, eV/atom: -5.508
Formation energy, eV per formula unit: 1.306
Polymorph energy (0 for the lowest one), eV/atom: 0.232

The following is a GGA-PBE calculation of crystalline Ta2NiAg at its relaxed geometry, from Alexandria via LeMat-Bulk.

Unit cell a=2.8223 b=4.0995 c=5.8598 alpha=90.00 beta=103.93 gamma=90.00
With the nearest neighbours (Å) after each atom.
Space group Pm (No. 6)
One atom of each set of equivalent atoms:
Ta 0.0000 0.0000 0.0000 [1 per cell]  1 Ni 2.66, 6 Ta 2.82-2.98, 4 Ag 2.87
Ta 0.3555 0.5000 0.7113 [1 per cell]  4 Ni 2.69, 6 Ta 2.82-2.98, 2 Ag 2.98
Ni 0.7645 0.0000 0.5319 [1 per cell]  2 Ag 2.60, 5 Ta 2.66-2.69, 2 Ni 2.82
Ag 0.6257 0.5000 0.2502 [1 per cell]  2 Ni 2.60, 2 Ag 2.82, 4 Ta 2.87

VASP energy, eV/atom: -7.886
Formation energy, eV per formula unit: 0.794
Polymorph energy (0 for the lowest one), eV/atom: 0.138

The following is a GGA-PBE calculation of crystalline TaNiAg2 at its relaxed geometry, from Alexandria via LeMat-Bulk.

Unit cell a=3.7354 b=3.7354 c=4.6993 alpha=90.00 beta=90.00 gamma=90.00
With the nearest neighbours (Å) after each atom.
Space group P4/mmm (No. 123)
One atom of each set of equivalent atoms:
Ta 0.0000 0.0000 0.0000 [1 per cell]  4 Ni 2.64
Ni 0.5000 0.5000 0.0000 [1 per cell]  4 Ta 2.64
Ag 0.0000 0.5000 0.5000 [2 per cell]  4 Ag 2.64

VASP energy, eV/atom: -5.368
Formation energy, eV per formula unit: 1.863
Polymorph energy (0 for the lowest one), eV/atom: 0.372

The following is a GGA-PBE calculation of crystalline Ta2NiAg at its relaxed geometry, from Alexandria via LeMat-Bulk.

Unit cell a=2.8392 b=2.8392 c=8.0885 alpha=90.00 beta=90.00 gamma=90.00
With the nearest neighbours (Å) after each atom.
Space group P4mm (No. 99)
One atom of each set of equivalent atoms:
Ta 0.0000 0.0000 0.0000 [1 per cell]  4 Ni 2.65, 4 Ta 2.84
Ta 0.5000 0.5000 0.2784 [1 per cell]  8 Ta 2.84-3.02, 4 Ag 3.00
Ni 0.5000 0.5000 0.7867 [1 per cell]  4 Ta 2.65, 4 Ag 2.75, 4 Ni 2.84
Ag 0.0000 0.0000 0.5543 [1 per cell]  4 Ni 2.75, 4 Ag 2.84, 4 Ta 3.00

VASP energy, eV/atom: -8.023
Formation energy, eV per formula unit: 0.244
Polymorph energy (0 for the lowest one), eV/atom: 0.000

The following is a GGA-PBE calculation of crystalline Ta2NiAg at its relaxed geometry, from Alexandria via LeMat-Bulk.

Unit cell a=4.9114 b=2.8327 c=5.0075 alpha=90.00 beta=109.03 gamma=90.00
With the nearest neighbours (Å) after each atom.
Space group P2/m (No. 10)
One atom of each set of equivalent atoms:
Ta 0.0000 0.0000 0.0000 [1 per cell]  6 Ta 2.83, 4 Ni 2.88, 2 Ag 2.88
Ta 0.5000 0.5000 0.0000 [1 per cell]  6 Ta 2.83, 4 Ag 2.88, 2 Ni 2.88
Ni 0.0000 0.5000 0.5000 [1 per cell]  2 Ni 2.83, 4 Ag 2.83, 6 Ta 2.88
Ag 0.5000 0.0000 0.5000 [1 per cell]  2 Ag 2.83, 4 Ni 2.83, 6 Ta 2.88

VASP energy, eV/atom: -7.797
Formation energy, eV per formula unit: 1.150
Polymorph energy (0 for the lowest one), eV/atom: 0.227

The following is a GGA-PBE calculation of crystalline Ta2NiAg at its relaxed geometry, from Alexandria via LeMat-Bulk.

Unit cell a=2.8859 b=4.8233 c=9.4182 alpha=90.00 beta=90.00 gamma=90.00
With the nearest neighbours (Å) after each atom.
Space group Imm2 (No. 44)
One atom of each set of equivalent atoms:
Ta 0.0000 0.0000 0.0000 [2 per cell]  4 Ni 2.81, 4 Ta 2.84-2.89, 2 Ag 3.02
Ta 0.0000 0.5000 0.2398 [2 per cell]  2 Ni 2.55, 4 Ag 2.84, 2 Ta 2.84
Ni 0.0000 0.0000 0.5168 [2 per cell]  6 Ta 2.55-2.81, 2 Ag 2.64
Ag 0.0000 0.5000 0.7817 [2 per cell]  2 Ni 2.64, 4 Ta 2.84, 2 Ag 2.89

VASP energy, eV/atom: -7.873
Formation energy, eV per formula unit: 0.847
Polymorph energy (0 for the lowest one), eV/atom: 0.151

The following is a GGA-PBE calculation of crystalline Ta2NiAg2Te6 at its relaxed geometry, from Alexandria via LeMat-Bulk.

Unit cell a=6.7525 b=11.6492 c=7.9716 alpha=90.00 beta=107.35 gamma=90.00
With the nearest neighbours (Å) after each atom.
Space group C2/m (No. 12)
One atom of each set of equivalent atoms:
Ta 0.0000 0.1228 0.0000 [4 per cell]  6 Te 2.74-2.95, 1 Ta 2.86
Ni 0.0000 0.5000 0.0000 [2 per cell]  4 Te 2.61
Ag 0.0000 0.1241 0.5000 [4 per cell]  2 Te 2.75, 1 Ag 2.89
Te 0.2070 0.3302 0.1841 [8 per cell]  1 Ni 2.61, 1 Ag 2.75, 1 Ta 2.85
Te 0.2472 0.0000 0.2768 [4 per cell]  2 Ta 2.74

VASP energy, eV/atom: -5.011
E_form (uncorrected), kJ/mol of atoms: -9.5

The following is a GGA-PBE calculation of crystalline Tb4NiAg at its relaxed geometry, from Alexandria via LeMat-Bulk.

Unit cell a=13.4170 b=13.4170 c=13.4170 alpha=90.00 beta=90.00 gamma=90.00
With the nearest neighbours (Å) after each atom.
Space group F-43m (No. 216)
One atom of each set of equivalent atoms:
Tb 0.0000 0.0000 0.1860 [24 per cell]  2 Ag 3.20, 2 Ni 3.44, 10 Tb 3.44-3.56
Tb 0.0608 0.2500 0.2500 [24 per cell]  2 Ni 2.79
Tb 0.1006 0.1006 0.6006 [16 per cell]  3 Ni 2.79
Ni 0.1068 0.1068 0.3932 [16 per cell]  6 Tb 2.79
Ag 0.1681 0.1681 0.8319 [16 per cell]  3 Ag 3.11, 9 Tb 3.20-3.44

VASP energy, eV/atom: -4.805
Formation energy, eV per formula unit: -1.674
Polymorph energy (0 for the lowest one), eV/atom: 0.000

The following is a GGA-PBE calculation of crystalline Tb12NiAg6 at its relaxed geometry, from Alexandria via LeMat-Bulk.

Unit cell a=11.7963 b=11.7963 c=13.1499 alpha=90.00 beta=90.00 gamma=120.00
With the nearest neighbours (Å) after each atom.
Space group R-3 (No. 148, hexagonal axes)
One atom of each set of equivalent atoms:
Tb 0.0289 0.1888 0.3756 [18 per cell]  1 Ni 2.64
Tb 0.0392 0.8474 0.8902 [18 per cell]  4 Ag 3.07-3.20
Ni 0.0000 0.0000 0.5000 [3 per cell]  6 Tb 2.64
Ag 0.0016 0.6065 0.7584 [18 per cell]  8 Tb 3.05-3.29

VASP energy, eV/atom: -4.232
Formation energy, eV per formula unit: -1.953

The following is a GGA-PBE calculation of crystalline Tb2Ni2Ag at its relaxed geometry, from Alexandria via LeMat-Bulk.

Unit cell a=7.3364 b=7.3364 c=3.6445 alpha=90.00 beta=90.00 gamma=90.00
With the nearest neighbours (Å) after each atom.
Space group P4/mbm (No. 127)
One atom of each set of equivalent atoms:
Tb 0.1760 0.3240 0.0000 [4 per cell]  6 Ni 2.80-2.86
Ni 0.1191 0.6191 0.5000 [4 per cell]  1 Ni 2.47
Ag 0.0000 0.0000 0.5000 [2 per cell]  4 Ni 2.93, 8 Tb 3.26

VASP energy, eV/atom: -5.136
Formation energy, eV per formula unit: -2.005
Polymorph energy (0 for the lowest one), eV/atom: 0.012

The following is a GGA-PBE calculation of crystalline Tb4Ni2Ag at its relaxed geometry, from Alexandria via LeMat-Bulk.

Unit cell a=6.8594 b=6.9051 c=8.2972 alpha=107.70 beta=107.45 gamma=105.48
With the nearest neighbours (Å) after each atom.
Space group P1 (No. 1)
One atom of each set of equivalent atoms:
Tb 0.0000 0.0000 0.0000 [1 per cell]  3 Ni 2.73-2.95
Tb 0.0241 0.5294 0.0600 [1 per cell]  3 Ni 2.73-2.95
Tb 0.1430 0.3138 0.4712 [1 per cell]  3 Ni 2.72-2.96, 1 Ag 2.98
Tb 0.4312 0.2671 0.8883 [1 per cell]  3 Ni 2.72-2.89, 1 Ag 2.93
Tb 0.5386 0.8573 0.5983 [1 per cell]  3 Ni 2.80-2.88, 1 Ag 3.05
Tb 0.5749 0.9055 0.1718 [1 per cell]  3 Ni 2.73-2.89, 1 Ag 2.93
Tb 0.6996 0.3710 0.5856 [1 per cell]  3 Ni 2.72-2.96, 1 Ag 2.99
Tb 0.9736 0.7917 0.4677 [1 per cell]  3 Ni 2.79-2.90, 1 Ag 3.06
Ni 0.2755 0.9832 0.3416 [1 per cell]  7 Tb 2.72-2.96
Ni 0.6072 0.6411 0.8455 [1 per cell]  5 Tb 2.72-2.88, 1 Ag 2.76
Ni 0.7873 0.3265 0.2168 [1 per cell]  5 Tb 2.73-2.90, 1 Ag 2.74
Ni 0.9651 0.1756 0.7198 [1 per cell]  7 Tb 2.72-2.96
Ag 0.2190 0.7082 0.7966 [1 per cell]  1 Ni 2.76, 3 Tb 2.93-3.06
Ag 0.4532 0.4508 0.2646 [1 per cell]  1 Ni 2.74, 3 Tb 2.93-3.05

VASP energy, eV/atom: -4.979
Formation energy, eV per formula unit: -1.915

Number 1: total moment 0.00 Bohr magnetons per cell. Number 2: total moment 0.00 Bohr magnetons per cell. Number 3: total moment 0.00 Bohr magnetons per cell. Number 4: total moment 0.00 Bohr magnetons per cell. Number 5: total moment 0.00 Bohr magnetons per cell. Number 6: total moment 0.54 Bohr magnetons per cell. Number 7: total moment 0.00 Bohr magnetons per cell. Number 8: total moment 0.00 Bohr magnetons per cell. Number 9: total moment 8.51 Bohr magnetons per cell. Number 10: total moment 0.06 Bohr magnetons per cell. Number 11: total moment 0.00 Bohr magnetons per cell. Number 12: total moment 0.68 Bohr magnetons per cell. Number 13: total moment 0.00 Bohr magnetons per cell. Number 14: total moment 0.00 Bohr magnetons per cell. Number 15: total moment 0.00 Bohr magnetons per cell. Number 16: total moment 0.02 Bohr magnetons per cell. Number 17: total moment 0.00 Bohr magnetons per cell. Number 18: total moment 0.00 Bohr magnetons per cell. Number 19: total moment 0.00 Bohr magnetons per cell. Number 20: total moment 0.00 Bohr magnetons per cell.